Entry 1:
The following is a DFT calculation (GGA-PBE) of crystalline Ce2Np3NbN6 at its relaxed geometry.

For the density of states at the Fermi level, the calculation gives 21.3 states/eV/cell. The total energy is -10.47 eV/atom. Its formation energy from raw total energies is -1.247 eV per atom.

Cell: 5.9680 5.9680 5.8741 Å, 99.72 99.72 119.95°
Closest atoms and distances in Å follow each position.
Sites, in units of the cell vectors:
Ce 0.1663 0.8337 0.0000  6 N 2.50-2.51
Ce 0.8337 0.1663 0.0000  6 N 2.50-2.51
Np 0.0000 0.0000 0.5000  6 N 2.35-2.50
Np 0.3332 0.6668 0.5000  6 N 2.34-2.52
Np 0.6668 0.3332 0.5000  6 N 2.34-2.52
Nb 0.5000 0.5000 0.0000  6 N 2.33-2.35
N 0.1049 0.4150 0.7446  1 Nb 2.33, 3 Np 2.35-2.52, 2 Ce 2.50
N 0.2749 0.2749 0.2590  3 Np 2.34-2.50, 1 Nb 2.35, 2 Ce 2.51
N 0.4150 0.1049 0.7446  1 Nb 2.33, 3 Np 2.35-2.52, 2 Ce 2.50
N 0.5850 0.8951 0.2554  1 Nb 2.33, 3 Np 2.35-2.52, 2 Ce 2.50
N 0.7251 0.7251 0.7410  3 Np 2.34-2.50, 1 Nb 2.35, 2 Ce 2.51
N 0.8951 0.5850 0.2554  1 Nb 2.33, 3 Np 2.35-2.52, 2 Ce 2.50

Entry 2:
The following is a DFT calculation (GGA-PBE) of crystalline CeTlICl4 at its relaxed geometry.

For the density of states at the Fermi level, the calculation gives 9.4 states/eV/cell. The total energy is -3.92 eV/atom. Its formation energy from raw total energies is -1.460 eV per atom.

Cell: 9.0445 9.0445 9.1298 Å, 108.99 108.99 69.62°
Closest atoms and distances in Å follow each position.
Sites, in units of the cell vectors:
Ce 0.1338 0.1338 0.2167  5 Cl 2.53-2.81
Ce 0.8662 0.8662 0.7833  5 Cl 2.53-2.81
Tl 0.3349 0.3349 0.8918  2 I 3.14-3.20, 3 Cl 3.28-3.49
Tl 0.6651 0.6651 0.1082  2 I 3.14-3.20, 3 Cl 3.28-3.49
I 0.4977 0.4977 0.7539  2 Tl 3.14-3.20
I 0.5023 0.5023 0.2461  2 Tl 3.14-3.20
Cl 0.0326 0.4336 0.2136  1 Ce 2.55
Cl 0.0653 0.0653 0.8819  2 Ce 2.73-2.81
Cl 0.1542 0.1542 0.5054  1 Ce 2.53
Cl 0.4336 0.0326 0.2136  1 Ce 2.55
Cl 0.5664 0.9674 0.7864  1 Ce 2.55
Cl 0.8458 0.8458 0.4946  1 Ce 2.53
Cl 0.9347 0.9347 0.1181  2 Ce 2.73-2.81
Cl 0.9674 0.5664 0.7864  1 Ce 2.55

> Which of these has the highest formation energy from raw total energies?

Ce2Np3NbN6

> Look up the formation energy from raw total energies of the first one.

-1.247 eV per atom